Density functional theory data (PBE) for an optimized crystal structure of Cu2Ge2Pt.

a = 6.434 Å, b = 6.434 Å, c = 3.755 Å
α = 90.00°, β = 90.00°, γ = 90.00°
Sites, in units of the cell vectors:
Pt 0.000 0.000 0.000
Pt 0.500 0.500 0.000
Ge 0.642 0.142 0.000
Ge 0.142 0.358 0.000
Ge 0.358 0.858 0.000
Ge 0.858 0.642 0.000
Cu 0.353 0.147 0.500
Cu 0.147 0.647 0.500
Cu 0.647 0.853 0.500
Cu 0.853 0.353 0.500

Calculated values
DFT formation energy in eV/atom: -0.008
Distance to the lowest polymorph of the same formula in meV per atom: 0



Density functional theory data (PBE) for an optimized crystal structure of Cs4Mn3PbBr12.

a = 9.662 Å, b = 9.662 Å, c = 9.662 Å
α = 109.47°, β = 109.47°, γ = 109.47°
Sites, in units of the cell vectors:
Br 0.250 0.750 0.500
Br 0.000 0.267 0.267
Br 0.750 0.250 0.500
Br 0.733 0.000 0.733
Br 0.000 0.733 0.733
Br 0.750 0.500 0.250
Br 0.733 0.733 0.000
Br 0.250 0.500 0.750
Br 0.267 0.267 0.000
Br 0.500 0.250 0.750
Br 0.500 0.750 0.250
Br 0.267 0.000 0.267
Cs 0.000 0.500 0.000
Cs 0.000 0.000 0.500
Cs 0.500 0.000 0.000
Cs 0.500 0.500 0.500
Mn 0.000 0.500 0.500
Mn 0.500 0.000 0.500
Mn 0.500 0.500 0.000
Pb 0.000 0.000 0.000

Calculated values
Formation energy (no corrections) in eV/atom: -1.21